[1]
Computed, not measured: crystalline AgAuF4 at its relaxed geometry at the GGA-PBE level of DFT.

E = -39.40 eV/cell
crystal system = monoclinic

Unit cell a=5.023 b=5.023 c=9.207 alpha=97.66 beta=97.66 gamma=44.88
Positions (direct):
1 Ag 0.230 0.770 0.750
2 Ag 0.770 0.230 0.250
3 Au 0.000 0.500 0.000
4 Au 0.500 0.000 0.500
5 F 0.141 0.380 0.353
6 F 0.228 0.684 0.090
7 F 0.316 0.772 0.410
8 F 0.380 0.141 0.853
9 F 0.620 0.859 0.147
10 F 0.684 0.228 0.590
11 F 0.772 0.316 0.910
12 F 0.859 0.620 0.647

[2]
Computed, not measured: crystalline K2AgAuF6 at its relaxed geometry at the GGA-PBE level of DFT.

E = -36.99 eV/cell
crystal system = tetragonal

Unit cell a=6.203 b=6.203 c=6.203 alpha=121.79 beta=121.79 gamma=86.93
Positions (direct):
1 K 0.250 0.750 0.500
2 K 0.750 0.250 0.500
3 Ag 0.000 0.000 0.000
4 Au 0.500 0.500 0.000
5 F 0.235 0.235 0.000
6 F 0.258 0.258 0.515
7 F 0.258 0.742 0.000
8 F 0.742 0.258 0.000
9 F 0.742 0.742 0.485
10 F 0.765 0.765 0.000

[3]
Computed, not measured: crystalline Rb2AgAuF6 at its relaxed geometry at the GGA-PBE level of DFT.

E = -37.00 eV/cell
crystal system = tetragonal

Unit cell a=6.299 b=6.299 c=6.299 alpha=122.41 beta=122.41 gamma=85.87
Positions (direct):
1 Rb 0.250 0.750 0.500
2 Rb 0.750 0.250 0.500
3 Ag 0.000 0.000 0.000
4 Au 0.500 0.500 0.000
5 F 0.231 0.231 0.000
6 F 0.261 0.261 0.522
7 F 0.261 0.739 0.000
8 F 0.739 0.261 0.000
9 F 0.739 0.739 0.478
10 F 0.769 0.769 0.000

[4]
Computed, not measured: crystalline Rb2AgAuF6 at its relaxed geometry at the GGA-PBE level of DFT.

E = -37.01 eV/cell
crystal system = tetragonal

Unit cell a=6.317 b=6.317 c=6.317 alpha=123.44 beta=123.44 gamma=84.15
Positions (direct):
1 Rb 0.250 0.750 0.500
2 Rb 0.750 0.250 0.500
3 Ag 0.000 0.000 0.000
4 Au 0.500 0.500 0.000
5 F 0.211 0.682 0.893
6 F 0.228 0.228 0.000
7 F 0.318 0.211 0.529
8 F 0.682 0.789 0.471
9 F 0.772 0.772 0.000
10 F 0.789 0.318 0.107

> Which of these has the lowest E?

AgAuF4